Computed, not measured: an optimized crystal structure of Er2UMnO8 at the PBE with a Hubbard U level of DFT.

Properties
Its space group is P2/m. The calculation puts the uncorrected energy at -8.4498 eV per atom.

Unit cell a=4.9450 b=4.9446 c=6.6264 alpha=90.00 beta=90.00 gamma=92.18
With the nearest neighbours (Å) after each atom.
Atoms (fractional coordinates):
Er1 0.5000 0.5000 0.7348  6 O 2.17-2.30
Er2 0.5000 0.5000 0.2652  6 O 2.17-2.30
U1 0.0000 0.0000 0.0000  6 O 2.03-2.14
Mn1 0.0000 0.0000 0.5000  6 O 1.91-2.03
O1 0.1784 0.8227 0.2602  1 Mn 2.03, 1 U 2.14
O2 0.7044 0.7026 0.0000  1 U 2.03, 2 Er 2.24
O3 0.8216 0.1773 0.2602  1 Mn 2.03, 1 U 2.14
O4 0.8216 0.1773 0.7398  1 Mn 2.03, 1 U 2.14
O5 0.2956 0.2974 0.0000  1 U 2.03, 2 Er 2.24
O6 0.1784 0.8227 0.7398  1 Mn 2.03, 1 U 2.14
O7 0.7221 0.7211 0.5000  1 Mn 1.91
O8 0.2779 0.2789 0.5000  1 Mn 1.91